No. 1
A plane-wave DFT calculation with PBE was carried out for a geometry-optimized Be3TcF structure.

Values from the calculation:
The energy relative to the lowest polymorph listed for this composition is 0 meV per atom. The calculation puts the density at 5.0 Mg/m³. For the magnetization, the calculation gives 0.00 μB per formula unit. The uncorrected formation energy is -0.30 eV/atom.

Cell: 3.628 3.628 3.628 Å, 90.00 90.00 90.00°
Fractional positions:
Be 0.000 0.000 0.500
Be 0.000 0.500 0.000
Be 0.500 0.000 0.000
Tc 0.500 0.500 0.500
F 0.000 0.000 0.000

No. 2
A plane-wave DFT calculation with PBE was carried out for a geometry-optimized NdTlZnCu structure.

Values from the calculation:
The calculation puts the density at 9.3 Mg/m³. For the magnetization, the calculation gives 0.00 μB per formula unit. The formation energy from the elements comes out at -0.7 eV per formula unit.

Cell: 4.933 4.933 4.933 Å, 60.00 60.00 60.00°
Fractional positions:
Nd 0.000 0.000 0.000
Tl 0.500 0.500 0.500
Zn 0.750 0.750 0.750
Cu 0.250 0.250 0.250

No. 3
A plane-wave DFT calculation with PBE was carried out for a geometry-optimized CdAsIr2 structure.

Values from the calculation:
The energy relative to the lowest polymorph listed for this composition is 110 meV per atom. The calculation puts the density at 13.1 Mg/m³. For the magnetization, the calculation gives 0.48 μB per formula unit. The formation energy from the elements comes out at 0.8 eV per formula unit.

Cell: 10.436 10.436 10.436 Å, 15.72 15.72 15.72°
Fractional positions:
Cd 0.000 0.000 0.000
As 0.215 0.215 0.215
Ir 0.484 0.484 0.484
Ir 0.746 0.746 0.746

No. 4
A plane-wave DFT calculation with PBE was carried out for a geometry-optimized KCr3Cd structure.

Values from the calculation:
The energy relative to the lowest polymorph listed for this composition is 874 meV per atom. The calculation puts the density at 3.1 Mg/m³. For the magnetization, the calculation gives 15.26 μB per formula unit. The formation energy from the elements comes out at 11.0 eV per formula unit.

Cell: 5.497 5.497 5.497 Å, 90.00 90.00 90.00°
Fractional positions:
K 0.000 0.000 0.000
Cr 0.000 0.000 0.500
Cr 0.000 0.500 0.000
Cr 0.500 0.000 0.000
Cd 0.500 0.500 0.500

No. 5
A plane-wave DFT calculation with PBE was carried out for a geometry-optimized Mn2RuWC structure.

Values from the calculation:
The calculation puts the density at 11.4 Mg/m³. For the magnetization, the calculation gives 0.00 μB per formula unit. The formation energy from the elements comes out at 0.5 eV per formula unit.

Cell: 3.800 3.800 4.103 Å, 90.00 90.00 90.00°
Fractional positions:
Mn 0.000 0.500 0.000
Mn 0.500 0.000 0.000
Ru 0.000 0.000 0.500
W 0.500 0.500 0.500
C 0.500 0.500 0.000

No. 6
A plane-wave DFT calculation with PBE was carried out for a geometry-optimized SnCl3F structure.

Values from the calculation:
The energy relative to the lowest polymorph listed for this composition is 0 meV per atom. The calculation puts the density at 2.3 Mg/m³. For the magnetization, the calculation gives 0.01 μB per formula unit. The uncorrected formation energy is -1.28 eV/atom.

Cell: 5.824 7.850 16.041 Å, 90.00 104.48 90.00°
Fractional positions:
Sn 0.172 0.247 0.360
Sn 0.172 0.753 0.860
Sn 0.828 0.247 0.140
Sn 0.828 0.753 0.640
Cl 0.039 0.248 0.485
Cl 0.039 0.752 0.985
Cl 0.365 0.010 0.863
Cl 0.365 0.496 0.862
Cl 0.365 0.504 0.362
Cl 0.365 0.990 0.363
Cl 0.635 0.010 0.637
Cl 0.635 0.496 0.638
Cl 0.635 0.504 0.138
Cl 0.635 0.990 0.137
Cl 0.961 0.248 0.015
Cl 0.961 0.752 0.515
F 0.167 0.246 0.216
F 0.167 0.754 0.716
F 0.833 0.246 0.284
F 0.833 0.754 0.784

No. 7
A plane-wave DFT calculation with PBE was carried out for a geometry-optimized SrPPtO2 structure.

Values from the calculation:
The energy relative to the lowest polymorph listed for this composition is 1110 meV per atom. The calculation puts the density at 4.4 Mg/m³. For the magnetization, the calculation gives 0.52 μB per formula unit. The uncorrected formation energy is 0.53 eV/atom.

Cell: 4.005 4.005 8.086 Å, 90.00 90.00 90.00°
Fractional positions:
Sr 0.000 0.000 0.000
P 0.000 0.000 0.500
Pt 0.500 0.500 0.500
O 0.000 0.500 0.000
O 0.500 0.000 0.000

No. 8
A plane-wave DFT calculation with PBE was carried out for a geometry-optimized Sc8Al2Tc structure.

Values from the calculation:
The calculation puts the density at 3.6 Mg/m³. For the magnetization, the calculation gives 0.37 μB per formula unit. The formation energy from the elements comes out at -2.6 eV per formula unit.

Cell: 8.349 8.349 6.474 Å, 111.70 111.70 34.89°
Fractional positions:
Sc 0.005 0.005 0.260
Sc 0.188 0.188 0.713
Sc 0.361 0.361 0.607
Sc 0.379 0.379 0.097
Sc 0.621 0.621 0.903
Sc 0.639 0.639 0.393
Sc 0.812 0.812 0.287
Sc 0.995 0.995 0.740
Al 0.187 0.187 0.186
Al 0.813 0.813 0.814
Tc 0.500 0.500 0.500

No. 9
A plane-wave DFT calculation with PBE was carried out for a geometry-optimized NaTlCuCl6 structure.

Values from the calculation:
The calculation puts the density at 3.6 Mg/m³. For the magnetization, the calculation gives 1.01 μB per formula unit. The uncorrected formation energy is -0.82 eV/atom.

Cell: 6.549 6.549 6.270 Å, 90.00 90.00 120.00°
Fractional positions:
Na 0.000 0.000 0.000
Tl 0.333 0.667 0.500
Cu 0.667 0.333 0.500
Cl 0.371 0.021 0.730
Cl 0.371 0.351 0.270
Cl 0.649 0.021 0.270
Cl 0.649 0.629 0.730
Cl 0.979 0.351 0.730
Cl 0.979 0.629 0.270

No. 10
A plane-wave DFT calculation with PBE was carried out for a geometry-optimized RbTa2Pt2 structure.

Values from the calculation:
The energy relative to the lowest polymorph listed for this composition is 0 meV per atom. The calculation puts the density at 13.9 Mg/m³. For the magnetization, the calculation gives 0.00 μB per formula unit. The formation energy from the elements comes out at -0.1 eV per formula unit.

Cell: 8.456 8.456 2.804 Å, 90.00 90.00 90.00°
Fractional positions:
Rb 0.000 0.000 0.000
Rb 0.500 0.500 0.000
Ta 0.118 0.382 0.000
Ta 0.382 0.882 0.000
Ta 0.618 0.118 0.000
Ta 0.882 0.618 0.000
Pt 0.170 0.670 0.500
Pt 0.330 0.170 0.500
Pt 0.670 0.830 0.500
Pt 0.830 0.330 0.500

> Which value of magnetization does entry 2 give?

0.00 μB per formula unit

Repeat the tenth record exactly.
A plane-wave DFT calculation with PBE was carried out for a geometry-optimized RbTa2Pt2 structure.

Values from the calculation:
The energy relative to the lowest polymorph listed for this composition is 0 meV per atom. The calculation puts the density at 13.9 Mg/m³. For the magnetization, the calculation gives 0.00 μB per formula unit. The formation energy from the elements comes out at -0.1 eV per formula unit.

Cell: 8.456 8.456 2.804 Å, 90.00 90.00 90.00°
Fractional positions:
Rb 0.000 0.000 0.000
Rb 0.500 0.500 0.000
Ta 0.118 0.382 0.000
Ta 0.382 0.882 0.000
Ta 0.618 0.118 0.000
Ta 0.882 0.618 0.000
Pt 0.170 0.670 0.500
Pt 0.330 0.170 0.500
Pt 0.670 0.830 0.500
Pt 0.830 0.330 0.500